A plane-wave DFT calculation with PBE was carried out for an optimized crystal structure of Na2Cd16Ag.

Geometry as extended XYZ:
```
19
Lattice="5.070 2.927 5.072 -5.070 2.927 5.072 0.000 -5.855 5.072" Properties=species:S:1:pos:R:3 pbc="T T T"
Na 0.000 0.000 0.000
Na 0.000 0.000 5.071
Cd 0.000 -2.572 2.800
Cd -2.228 1.286 2.800
Cd -2.824 -1.630 7.635
Cd 0.000 -2.778 7.196
Cd -2.406 1.389 7.196
Cd -1.502 -2.604 10.105
Cd -3.006 0.002 10.105
Cd 2.228 1.286 2.800
Cd 0.000 0.000 8.474
Cd 1.502 -2.604 10.105
Cd -1.505 2.603 10.105
Cd 2.824 -1.630 7.635
Cd 0.000 3.261 7.635
Cd 2.406 1.389 7.196
Cd 3.006 0.002 10.105
Cd 1.505 2.603 10.105
Ag 0.000 0.000 11.364
```

Properties
The calculation puts the raw total energy at -1.083 eV per atom. The value obtained for the density of states at the Fermi level is 0.326 states/eV per atom. For the calculated volume, the calculation gives 23.77 A^3/atom.